[1]
## Sm8Y2Al (PBE)

Data for Sm8Y2Al after structural relaxation.

abc: 5.5157 7.5506 17.3995
angles: 90.00 90.00 90.00
Closest atoms and distances in Å follow each position.
Space group Immm (No. 71)
Inequivalent atoms, fractional coordinates:
Sm1 0.0000 0.0000 0.1802 (multiplicity 4)  8 Sm 3.52-3.71, 4 Y 3.53-3.78
Sm2 0.0000 0.2324 0.3678 (multiplicity 8)  1 Al 3.06
Sm3 0.0000 0.2494 0.0000 (multiplicity 4)  2 Al 3.34, 6 Sm 3.59-3.66
Y1 0.0000 0.5000 0.1931 (multiplicity 4)  10 Sm 3.44-3.78
Al1 0.0000 0.5000 0.5000 (multiplicity 2)  8 Sm 3.06-3.34

- E_tot (eV/atom) = -4.9211
- DOS at the Fermi energy (states/eV/f.u.) = 18.437
- energy relative to the elements (eV per atom) = 0.026


[2]
## TlTc2Sb (PBE)

Data for TlTc2Sb after structural relaxation.

abc: 3.1549 3.1549 25.8089
angles: 90.00 90.00 120.00
Closest atoms and distances in Å follow each position.
Space group R-3m (No. 166, hexagonal axes)
Inequivalent atoms, fractional coordinates:
Tl1 0.0000 0.0000 0.0000 (multiplicity 3)  6 Tc 2.92, 6 Tl 3.15
Tc1 0.0000 0.0000 0.2450 (multiplicity 6)  3 Sb 2.72, 3 Tl 2.92
Sb1 0.0000 0.0000 0.5000 (multiplicity 3)  6 Tc 2.72

- E_tot (eV/atom) = -6.2602
- energy relative to the elements, uncorrected (eV/atom) = 0.5450
- DOS at the Fermi energy (states/eV/f.u.) = 5.376